Density functional theory data (GGA+U) for crystalline Ho3Cr5O12 at its relaxed geometry.

Values from the calculation:
- Final energy: -7.9714 eV per atom

Cell: 10.8544 10.8544 10.8544 Å, 109.47 109.47 109.47°
Sites, in units of the cell vectors:
Ho  0.1250  0.2500  0.3750
Ho  0.1250  0.3750  0.7500
Ho  0.2500  0.3750  0.1250
Ho  0.2500  0.8750  0.6250
Ho  0.3750  0.1250  0.2500
Ho  0.3750  0.7500  0.1250
Ho  0.6250  0.2500  0.8750
Ho  0.6250  0.8750  0.7500
Ho  0.7500  0.1250  0.3750
Ho  0.7500  0.6250  0.8750
Ho  0.8750  0.6250  0.2500
Ho  0.8750  0.7500  0.6250
Cr  0.0000  0.0000  0.0000
Cr  0.0000  0.0000  0.5000
Cr  0.0000  0.5000  0.0000
Cr  0.0000  0.5000  0.5000
Cr  0.1250  0.7500  0.8750
Cr  0.1250  0.8750  0.2500
Cr  0.2500  0.1250  0.8750
Cr  0.2500  0.6250  0.3750
Cr  0.3750  0.2500  0.6250
Cr  0.3750  0.6250  0.7500
Cr  0.5000  0.0000  0.0000
Cr  0.5000  0.0000  0.5000
Cr  0.5000  0.5000  0.0000
Cr  0.5000  0.5000  0.5000
Cr  0.6250  0.3750  0.2500
Cr  0.6250  0.7500  0.3750
Cr  0.7500  0.3750  0.6250
Cr  0.7500  0.8750  0.1250
Cr  0.8750  0.1250  0.7500
Cr  0.8750  0.2500  0.1250
O  0.0316  0.2053  0.1312
O  0.0316  0.3263  0.9004
O  0.0741  0.7053  0.6737
O  0.0741  0.8688  0.4004
O  0.0996  0.6312  0.4259
O  0.0996  0.9684  0.6737
O  0.1312  0.0316  0.2053
O  0.1312  0.5996  0.9259
O  0.1737  0.2053  0.5741
O  0.1737  0.4684  0.5996
O  0.2053  0.1312  0.0316
O  0.2053  0.5741  0.1737
O  0.2947  0.3263  0.9259
O  0.2947  0.4684  0.3688
O  0.3263  0.9004  0.0316
O  0.3263  0.9259  0.2947
O  0.3688  0.2947  0.4684
O  0.3688  0.5741  0.9004
O  0.4004  0.0741  0.8688
O  0.4004  0.8263  0.5316
O  0.4259  0.0996  0.6312
O  0.4259  0.8263  0.7947
O  0.4684  0.3688  0.2947
O  0.4684  0.5996  0.1737
O  0.5316  0.4004  0.8263
O  0.5316  0.6312  0.7053
O  0.5741  0.1737  0.2053
O  0.5741  0.9004  0.3688
O  0.5996  0.1737  0.4684
O  0.5996  0.9259  0.1312
O  0.6312  0.4259  0.0996
O  0.6312  0.7053  0.5316
O  0.6737  0.0741  0.7053
O  0.6737  0.0996  0.9684
O  0.7053  0.5316  0.6312
O  0.7053  0.6737  0.0741
O  0.7947  0.4259  0.8263
O  0.7947  0.8688  0.9684
O  0.8263  0.5316  0.4004
O  0.8263  0.7947  0.4259
O  0.8688  0.4004  0.0741
O  0.8688  0.9684  0.7947
O  0.9004  0.0316  0.3263
O  0.9004  0.3688  0.5741
O  0.9259  0.1312  0.5996
O  0.9259  0.2947  0.3263
O  0.9684  0.6737  0.0996
O  0.9684  0.7947  0.8688